Density functional theory data (SCAN) for LiCr2TcSe at its PBEsol-relaxed geometry.

abc: 4.4916 4.4916 4.6586
angles: 90.00 90.00 90.00
Closest atoms and distances in Å follow each position.
Fractional positions:
Li1 0.0000 0.0000 0.0000  2 Tc 2.33
Cr1 0.0000 0.5000 0.5000  2 Tc 2.25
Cr2 0.5000 0.0000 0.5000  2 Tc 2.25
Tc1 0.0000 0.0000 0.5000  4 Cr 2.25, 2 Li 2.33
Se1 0.5000 0.5000 0.0000  4 Li 3.18, 8 Cr 3.24

Computed properties:
- SG: No. 123
- N(E_F): 2.9 states/eV/cell
- Formation energy without anion corrections: 0.8368 eV per atom
- Total energy: -1.3246 Ry/atom

=====

Density functional theory data (SCAN) for Cd4AsRu at its PBEsol-relaxed geometry.

abc: 5.4378 5.4378 5.4378
angles: 60.00 60.00 60.00
Closest atoms and distances in Å follow each position.
Fractional positions:
Cd1 0.1244 0.1244 0.1244  6 Cd 2.71-2.73
Cd2 0.1244 0.1244 0.6268  6 Cd 2.71-2.73
Cd3 0.1244 0.6268 0.1244  6 Cd 2.71-2.73
Cd4 0.6268 0.1244 0.1244  6 Cd 2.71-2.73
As1 0.5000 0.5000 0.5000  12 Cd 3.19, 4 Ru 3.33
Ru1 0.7500 0.7500 0.7500  12 Cd 3.19, 4 As 3.33

Computed properties:
- Formation energy from the elements: 0.5267 eV per atom
- SG: No. 216
- N(E_F): 2.7 states/eV/cell
- Total energy: -2.1255 Ry/atom

=====

Density functional theory data (SCAN) for Li7Co5O12 at its PBEsol-relaxed geometry.

abc: 5.6552 2.8061 12.2391
angles: 90.00 103.02 90.00
Closest atoms and distances in Å follow each position.
Fractional positions:
Li1 0.0000 0.0000 0.0000  6 O 2.01-2.02
Li2 0.0000 0.5000 0.5000  6 O 2.08-2.09
Li3 0.1693 0.0000 0.3317  6 O 1.95-2.10
Li4 0.3171 0.5000 0.1526  5 O 1.98-2.16
Li5 0.5000 0.0000 0.0000  6 O 1.99-2.11
Li6 0.6829 0.5000 0.8474  5 O 1.98-2.16
Li7 0.8307 0.0000 0.6683  6 O 1.95-2.10
Co1 0.1623 0.5000 0.8372  6 O 1.78-1.95
Co2 0.3317 0.0000 0.6669  6 O 1.88-1.91
Co3 0.5000 0.5000 0.5000  6 O 1.90
Co4 0.6683 0.0000 0.3331  6 O 1.88-1.91
Co5 0.8377 0.5000 0.1628  6 O 1.78-1.95
O1 0.0602 0.0000 0.1690  2 Co 1.87, 4 Li 1.95-2.06
O2 0.1096 0.5000 0.6740  3 Co 1.90-1.95, 3 Li 2.08-2.10
O3 0.2456 0.5000 0.9866  1 Co 1.78, 3 Li 1.98-1.99
O4 0.2764 0.0000 0.5069  3 Co 1.90-1.91, 3 Li 2.09
O5 0.3859 0.0000 0.8240  3 Co 1.88-1.92
O6 0.4474 0.5000 0.3414  3 Co 1.90, 2 Li 2.09
O7 0.5526 0.5000 0.6586  3 Co 1.90, 2 Li 2.09
O8 0.6141 0.0000 0.1760  3 Co 1.88-1.92
O9 0.7236 0.0000 0.4931  3 Co 1.90-1.91, 3 Li 2.09
O10 0.7544 0.5000 0.0134  1 Co 1.78, 3 Li 1.98-1.99
O11 0.8904 0.5000 0.3260  3 Co 1.90-1.95, 3 Li 2.08-2.10
O12 0.9398 0.0000 0.8310  2 Co 1.87, 4 Li 1.95-2.06

Computed properties:
- SG: No. 10
- N(E_F): 8.4 states/eV/cell
- Formation energy without anion corrections: -1.8225 eV per atom
- Total energy: -0.6791 Ry/atom